This record from Alexandria via LeMat-Bulk describes a relaxed structure of ReIrRh2. The functional is PBEsol.

VASP energy: -9.930 eV per atom
Formation enthalpy at 0 K: -0.0718 eV per atom
Calculated density: 17.46 g/cm3
Size of the total moment: 0.000 μB/f.u.

Cell and atoms, written as POSCAR:
```
ReIrRh2
1.0
1.349 0.779 8.821
-1.349 0.779 8.821
0.000 -1.557 8.821
Re Ir Rh
1 1 2
direct
0.000 0.000 0.000
0.251 0.251 0.251
0.500 0.500 0.500
0.749 0.749 0.749
```

This record from Alexandria via LeMat-Bulk describes a relaxed structure of ReIrRh2. The functional is PBEsol.

VASP energy: -9.926 eV per atom
Formation enthalpy at 0 K: -0.0675 eV per atom
Calculated density: 17.54 g/cm3
Size of the total moment: 0.000 μB/f.u.

Cell and atoms, written as POSCAR:
```
ReIrRh2
1.0
-1.897 1.897 3.842
1.897 -1.897 3.842
1.897 1.897 -3.842
Re Ir Rh
1 1 2
direct
0.000 0.000 0.000
0.500 0.500 0.000
0.250 0.750 0.500
0.750 0.250 0.500
```

This record from Alexandria via LeMat-Bulk describes a relaxed structure of ReIrRh2. The functional is PBEsol.

VASP energy: -9.975 eV per atom
Formation enthalpy at 0 K: -0.1173 eV per atom
Calculated density: 17.54 g/cm3
Size of the total moment: 0.000 μB/f.u.

Cell and atoms, written as POSCAR:
```
ReIrRh2
1.0
2.687 0.000 0.000
0.000 3.822 0.000
0.000 0.000 5.385
Re Ir Rh
1 1 2
direct
0.000 0.000 0.000
0.500 0.500 0.753
0.000 0.000 0.499
0.500 0.500 0.249
```

This record from Alexandria via LeMat-Bulk describes a relaxed structure of ReIr2Rh. The functional is PBEsol.

VASP energy: -10.354 eV per atom
Formation enthalpy at 0 K: -0.0745 eV per atom
Calculated density: 19.94 g/cm3
Size of the total moment: 0.000 μB/f.u.

Cell and atoms, written as POSCAR:
```
ReIr2Rh
1.0
2.696 0.000 0.000
0.000 2.696 0.000
0.000 0.000 7.716
Re Ir Rh
1 2 1
direct
0.000 0.000 0.000
0.000 0.000 0.499
0.500 0.500 0.751
0.500 0.500 0.246
```

This record from Alexandria via LeMat-Bulk describes a relaxed structure of ReIr2Rh. The functional is PBEsol.

VASP energy: -10.376 eV per atom
Formation enthalpy at 0 K: -0.0969 eV per atom
Calculated density: 19.99 g/cm3
Size of the total moment: 0.001 μB/f.u.

Cell and atoms, written as POSCAR:
```
ReIr2Rh
1.0
4.497 -1.347 0.000
4.497 1.347 0.000
-0.803 0.000 4.616
Re Ir Rh
1 2 1
direct
0.000 0.000 0.000
0.497 0.497 0.499
0.748 0.748 0.246
0.251 0.251 0.750
```

This record from Alexandria via LeMat-Bulk describes a relaxed structure of ReIr2Rh. The functional is PBEsol.

VASP energy: -10.387 eV per atom
Formation enthalpy at 0 K: -0.1077 eV per atom
Calculated density: 20.01 g/cm3
Size of the total moment: 0.000 μB/f.u.

Cell and atoms, written as POSCAR:
```
ReIr2Rh
1.0
2.704 -3.824 0.000
2.704 3.824 0.000
0.000 0.000 2.702
Re Ir Rh
1 2 1
direct
0.000 0.000 0.000
0.000 0.500 0.500
0.500 0.000 0.500
0.500 0.500 0.000
```